[1]
KZr2CuBr | Alexandria via LeMat-Bulk | GGA-PBE | relaxed; E = -20.09 eV for the cell shown; SG = P4/mmm (123); magnetization = 0.000 Bohr magnetons per cell; formation energy without anion corrections = 0.77 eV/atom
1.0
5.035 0.000 0.000
0.000 5.705 0.000
0.000 0.000 5.035
K Cu Br Zr
1 1 1 2
direct
0.000 0.500 0.000 K
0.500 0.500 0.500 Cu
0.000 0.000 0.000 Br
0.000 0.000 0.500 Zr
0.500 0.000 0.000 Zr

=====

[2]
La3CuBr | Alexandria via LeMat-Bulk | GGA-PBE | relaxed; E = -20.88 eV for the cell shown; SG = Pm-3m (221); energy relative to the lowest polymorph listed for this composition = 0 meV/atom; magnetization = 0.001 Bohr magnetons per cell; formation energy without anion corrections = -0.07 eV/atom
1.0
5.668 0.000 0.000
0.000 5.668 0.000
0.000 0.000 5.668
Cu Br La
1 1 3
direct
0.000 0.000 0.000 Cu
0.500 0.500 0.500 Br
0.000 0.500 0.000 La
0.000 0.000 0.500 La
0.500 0.000 0.000 La

=====

[3]
LaCuBr4 | Alexandria via LeMat-Bulk | GGA-PBE | relaxed; E = -47.89 eV for the cell shown; SG = I4_1/amd (141); energy relative to the lowest polymorph listed for this composition = 30 meV/atom; magnetization = 0.001 Bohr magnetons per cell; formation energy without anion corrections = -1.37 eV/atom
1.0
-1.186 3.285 7.184
6.834 -4.099 -0.549
0.335 5.943 -5.327
La Cu Br
2 2 8
direct
0.000 0.000 0.000 La
0.750 0.250 0.500 La
0.250 0.750 0.500 Cu
0.500 0.500 0.000 Cu
0.258 0.944 0.315 Br
0.629 0.944 0.685 Br
0.694 0.879 0.185 Br
0.492 0.306 0.185 Br
0.694 0.508 0.815 Br
0.056 0.371 0.315 Br
0.121 0.306 0.815 Br
0.056 0.742 0.685 Br

=====

[4]
La4CuBr2 | Alexandria via LeMat-Bulk | GGA-PBE | relaxed; E = -64.75 eV for the cell shown; SG = Cmcm (63); magnetization = 0.003 Bohr magnetons per cell; formation energy without anion corrections = -0.75 eV/atom
1.0
3.848 0.000 0.000
-1.924 7.147 0.000
0.000 0.000 15.442
Br Cu La
4 2 8
direct
0.842 0.684 0.935 Br
0.158 0.316 0.065 Br
0.842 0.684 0.565 Br
0.158 0.316 0.435 Br
0.427 0.854 0.250 Cu
0.573 0.146 0.750 Cu
0.181 0.361 0.637 La
0.819 0.639 0.363 La
0.819 0.639 0.137 La
0.181 0.361 0.863 La
0.917 0.833 0.750 La
0.083 0.167 0.250 La
0.500 0.000 0.000 La
0.500 0.000 0.500 La

=====

[5]
La2CuBr | Alexandria via LeMat-Bulk | GGA-PBE | relaxed; E = -34.80 eV for the cell shown; SG = I-42d (122); energy relative to the lowest polymorph listed for this composition = 287 meV/atom; magnetization = 0.000 Bohr magnetons per cell; formation energy without anion corrections = -0.44 eV/atom
1.0
7.880 0.000 0.000
0.000 7.880 0.000
3.940 3.940 3.850
Cu Br La
2 2 4
direct
0.500 0.500 0.000 Cu
0.250 0.750 0.500 Cu
0.000 0.000 0.000 Br
0.750 0.250 0.500 Br
0.604 0.125 0.250 La
0.146 0.625 0.250 La
0.375 0.396 0.750 La
0.875 0.854 0.750 La

=====

[6]
La2CuBr2 | Alexandria via LeMat-Bulk | GGA-PBE | relaxed; E = -22.64 eV for the cell shown; SG = R-3m (166); magnetization = 0.523 Bohr magnetons per cell; formation energy without anion corrections = -1.07 eV/atom
1.0
-3.297 1.057 2.447
0.554 0.604 4.160
1.169 11.307 0.363
La Cu Br
2 1 2
direct
0.614 0.614 0.159 La
0.386 0.386 0.841 La
0.000 0.000 0.000 Cu
0.223 0.223 0.331 Br
0.777 0.777 0.669 Br

=====

[7]
La2CuBr | Alexandria via LeMat-Bulk | GGA-PBE | relaxed; E = -18.55 eV for the cell shown; SG = P4mm (99); energy relative to the lowest polymorph listed for this composition = 0 meV/atom; magnetization = 0.000 Bohr magnetons per cell; formation energy without anion corrections = -0.73 eV/atom
1.0
4.277 0.000 0.000
0.000 4.277 0.000
0.000 0.000 6.196
Cu Br La
1 1 2
direct
0.500 0.500 0.874 Cu
0.000 0.000 0.376 Br
0.000 0.000 0.876 La
0.500 0.500 0.375 La

=====

[8]
La2CuBr | Alexandria via LeMat-Bulk | GGA-PBE | relaxed; E = -15.40 eV for the cell shown; SG = F-43m (216); energy relative to the lowest polymorph listed for this composition = 788 meV/atom; magnetization = 0.002 Bohr magnetons per cell; formation energy without anion corrections = 0.06 eV/atom
1.0
-1.165 -2.152 -4.636
3.543 0.019 -3.864
2.304 -4.475 -1.466
Br Cu La
1 1 2
direct
0.500 0.500 0.500 Br
0.750 0.750 0.750 Cu
0.000 0.000 0.000 La
0.250 0.250 0.250 La

=====

[9]
La2Cu2Br | Alexandria via LeMat-Bulk | GGA-PBE | relaxed; E = -44.26 eV for the cell shown; SG = P4/mbm (127); energy relative to the lowest polymorph listed for this composition = 206 meV/atom; magnetization = 0.000 Bohr magnetons per cell; formation energy without anion corrections = -0.48 eV/atom
1.0
-6.335 -2.017 4.882
3.645 -7.188 1.760
1.801 1.652 3.019
Cu Br La
4 2 4
direct
0.109 0.609 0.500 Cu
0.609 0.891 0.500 Cu
0.891 0.391 0.500 Cu
0.391 0.109 0.500 Cu
0.000 0.000 0.000 Br
0.500 0.500 0.000 Br
0.326 0.826 0.000 La
0.826 0.674 0.000 La
0.674 0.174 0.000 La
0.174 0.326 0.000 La

=====

[10]
LaCuBr4 | Alexandria via LeMat-Bulk | GGA-PBE | relaxed; E = -15.85 eV for the cell shown; SG = F-43m (216); energy relative to the lowest polymorph listed for this composition = 1379 meV/atom; magnetization = 1.368 Bohr magnetons per cell; formation energy without anion corrections = -0.02 eV/atom
1.0
0.000 4.394 4.394
4.394 0.000 4.394
4.394 4.394 0.000
La Cu Br
1 1 4
direct
0.000 0.000 0.000 La
0.750 0.750 0.750 Cu
0.874 0.375 0.375 Br
0.375 0.375 0.874 Br
0.375 0.874 0.375 Br
0.375 0.375 0.375 Br

=====

[11]
La2Cu2Br | Alexandria via LeMat-Bulk | GGA-PBE | relaxed; E = -23.16 eV for the cell shown; SG = R-3m (166); energy relative to the lowest polymorph listed for this composition = 0 meV/atom; magnetization = 0.000 Bohr magnetons per cell; formation energy without anion corrections = -0.69 eV/atom
1.0
-3.867 -1.740 0.477
3.335 -2.462 -1.014
3.017 0.751 8.105
La Cu Br
2 2 1
direct
0.853 0.426 0.279 La
0.147 0.574 0.721 La
0.335 0.167 0.502 Cu
0.665 0.833 0.498 Cu
0.000 0.000 0.000 Br

=====

[12]
La2CuBr | Alexandria via LeMat-Bulk | GGA-PBE | relaxed; E = -18.43 eV for the cell shown; SG = C2/m (12); energy relative to the lowest polymorph listed for this composition = 28 meV/atom; magnetization = 0.000 Bohr magnetons per cell; formation energy without anion corrections = -0.70 eV/atom
1.0
4.283 -0.022 0.011
2.155 3.701 0.011
2.137 1.221 7.377
Cu Br La
1 1 2
direct
0.750 0.750 0.750 Cu
0.250 0.250 0.250 Br
0.008 0.008 0.976 La
0.492 0.492 0.524 La